1.
A plane-wave DFT calculation with PBE-GGA was carried out for crystalline TeAs2Br8 at its relaxed geometry.

Magnetic moment in μB/f.u.: 0.00
Total DFT energy (no corrections) in eV per atom: -2.62
Formation energy from raw total energies in meV/atom: -272.2

Cell and atoms, written as POSCAR:
```
TeAs2Br8
1.0
-2.908 -6.822 1.777
0.744 -2.069 -8.041
7.247 -3.365 -2.376
Te As Br
1 2 8
direct
0.000 0.000 0.000
0.719 0.218 0.218
0.281 0.782 0.782
0.140 0.121 0.657
0.140 0.657 0.121
0.860 0.879 0.343
0.356 0.619 0.619
0.860 0.343 0.879
0.434 0.147 0.147
0.566 0.853 0.853
0.644 0.381 0.381
```

=====

2.
A plane-wave DFT calculation with PBE-GGA was carried out for crystalline PaSbH at its relaxed geometry.

Magnetic moment in μB/f.u.: 0.86
DOS at the Fermi energy in states/eV per cell: 4.22
Total DFT energy (no corrections) in eV per atom: -6.19

Cell and atoms, written as POSCAR:
```
PaSbH
1.0
-3.600 1.686 1.449
-1.870 -1.068 -3.403
0.077 -2.528 3.133
Sb Pa H
1 1 1
direct
0.666 0.333 0.667
0.166 0.667 0.333
0.167 0.000 0.000
```

=====

3.
A plane-wave DFT calculation with PBE-GGA was carried out for crystalline InNi2Mo2 at its relaxed geometry.

Magnetic moment in μB/f.u.: 0.00
DOS at the Fermi energy in states/eV per cell: 15.81
Total DFT energy (no corrections) in eV per atom: -6.96
Energy of formation from the pure elements in meV per atom: 237

Cell and atoms, written as POSCAR:
```
InNi2Mo2
1.0
6.621 0.000 0.000
0.000 6.621 0.000
0.000 0.000 3.398
Ni Mo In
4 4 2
direct
0.374 0.874 0.000
0.874 0.626 0.000
0.626 0.126 0.000
0.126 0.374 0.000
0.166 0.666 0.500
0.666 0.834 0.500
0.834 0.334 0.500
0.334 0.166 0.500
0.000 0.000 0.000
0.500 0.500 0.000
```

=====

4.
A plane-wave DFT calculation with PBE-GGA was carried out for crystalline Er4PaSb5 at its relaxed geometry.

Magnetic moment in μB/f.u.: 0.69
DOS at the Fermi energy in states/eV per cell: 6.65
Total DFT energy (no corrections) in eV per atom: -5.80
Formation energy from raw total energies in meV/atom: -961.7

Cell and atoms, written as POSCAR:
```
Er4PaSb5
1.0
5.554 0.000 2.679
2.777 6.879 1.339
-0.212 0.000 7.535
Er Pa Sb
4 1 5
direct
0.401 0.401 0.799
0.802 0.799 0.599
0.200 0.201 0.401
0.601 0.599 0.201
0.001 0.000 0.000
0.902 0.399 0.800
0.301 0.800 0.601
0.701 0.200 0.399
0.100 0.601 0.200
0.501 0.000 0.000
```

=====

5.
A plane-wave DFT calculation with PBE-GGA was carried out for crystalline LiTlRh2 at its relaxed geometry.

Magnetic moment in μB/f.u.: 0.00
DOS at the Fermi energy in states/eV per cell: 3.29
Total DFT energy (no corrections) in eV per atom: -4.75
Energy of formation from the pure elements in meV per atom: -7

Cell and atoms, written as POSCAR:
```
LiTlRh2
1.0
-1.964 2.371 -3.070
1.329 -2.821 -3.030
-2.817 -1.783 0.425
Li Rh Tl
1 2 1
direct
0.000 0.500 0.500
0.000 0.000 0.000
0.500 0.500 0.000
0.500 0.000 0.500
```

=====

6.
A plane-wave DFT calculation with PBE-GGA was carried out for crystalline SrTbSn6 at its relaxed geometry.

Magnetic moment in μB/f.u.: 0.00
DOS at the Fermi energy in states/eV per cell: 3.31
Total DFT energy (no corrections) in eV per atom: -4.21
Energy of formation from the pure elements in meV per atom: -423

Cell and atoms, written as POSCAR:
```
SrTbSn6
1.0
-1.836 2.915 -3.361
-3.212 -3.385 -1.181
-6.079 3.539 6.390
Sr Tb Sn
1 1 6
direct
0.000 0.000 0.000
0.000 0.000 0.500
0.500 0.500 0.000
0.500 0.500 0.500
0.500 0.000 0.257
0.500 0.000 0.743
0.000 0.500 0.257
0.000 0.500 0.743
```